No. 1
Material: KRbTiTe3
Method: DFT, PBE
State: optimized geometry

abc: 7.5405 7.5405 9.4311
angles: 75.08 75.08 71.03
Site moments in Bohr magnetons follow the coordinates.
Element x y z (fractional)
K: 0.2406 0.7594 0.5000  0.00
K: 0.7594 0.2406 0.5000  0.00
Rb: 0.6645 0.6645 0.8057  0.00
Rb: 0.3355 0.3355 0.1943  0.00
Ti: 0.0909 0.0909 0.8731  0.45
Ti: 0.9091 0.9091 0.1269  0.45
Te: 0.2433 0.2433 0.6053  0.00
Te: 0.1107 0.7114 0.8909  -0.07
Te: 0.7114 0.1107 0.8909  -0.07
Te: 0.2886 0.8893 0.1091  -0.07
Te: 0.8893 0.2886 0.1091  -0.07
Te: 0.7567 0.7567 0.3947  0.00

Energy relative to the elements, uncorrected in eV/atom: -0.755
Total DFT energy (no corrections) in eV/atom: -3.99

No. 2
Material: KRb2Tl2Te4
Method: DFT, PBE
State: optimized geometry

abc: 5.5277 7.9247 9.5380
angles: 106.28 106.84 90.00
Element x y z (fractional)
K: 0.0000 0.0000 0.0000
Rb: 0.1386 0.5803 0.2773
Rb: 0.8614 0.4197 0.7227
Tl: 0.6642 0.0038 0.3284
Tl: 0.3358 0.9962 0.6716
Te: 0.2069 0.1868 0.4139
Te: 0.7931 0.8132 0.5861
Te: 0.5183 0.6950 0.0365
Te: 0.4817 0.3050 0.9635

Energy relative to the elements, uncorrected in eV/atom: -0.655
Total DFT energy (no corrections) in eV/atom: -2.91

No. 3
Material: K2RbU3Te8
Method: DFT, PBE
State: optimized geometry

abc: 9.1561 9.1561 10.1800
angles: 63.27 63.27 60.00
Site moments in Bohr magnetons follow the coordinates.
Element x y z (fractional)
K: 0.1344 0.1344 0.5969  0.00
K: 0.4994 0.4994 0.5018  0.00
Rb: 0.8627 0.8627 0.4120  0.00
U: 0.4992 0.0009 0.0008  1.99
U: 0.0009 0.4992 0.0008  1.99
U: 0.4992 0.4992 0.0008  1.99
Te: 0.2689 0.2689 0.1932  -0.07
Te: 0.7283 0.7283 0.8152  -0.07
Te: 0.2430 0.2430 0.8123  -0.09
Te: 0.7017 0.2430 0.8123  -0.09
Te: 0.2430 0.7017 0.8123  -0.09
Te: 0.7548 0.3025 0.1878  -0.10
Te: 0.3025 0.7548 0.1878  -0.10
Te: 0.7548 0.7548 0.1878  -0.10

Energy relative to the elements, uncorrected in eV/atom: -0.752
Total DFT energy (no corrections) in eV/atom: -5.19

No. 4
Material: KRb3U2Te6
Method: DFT, PBE
State: optimized geometry

abc: 4.6336 10.2805 11.0498
angles: 106.53 102.10 90.00
Site moments in Bohr magnetons follow the coordinates.
Element x y z (fractional)
K: 0.5000 0.0000 0.0000  0.00
Rb: 0.5000 0.5000 0.0000  0.00
Rb: 0.8455 0.1632 0.6910  0.00
Rb: 0.1545 0.8368 0.3090  0.00
U: 0.8314 0.6648 0.6628  2.24
U: 0.1686 0.3352 0.3372  2.24
Te: 0.3262 0.8612 0.6523  -0.06
Te: 0.6795 0.5499 0.3589  -0.08
Te: 0.6738 0.1388 0.3477  -0.06
Te: 0.0268 0.2611 0.0536  -0.07
Te: 0.9732 0.7389 0.9464  -0.07
Te: 0.3205 0.4501 0.6411  -0.08

Energy relative to the elements, uncorrected in eV/atom: -0.909
Total DFT energy (no corrections) in eV/atom: -4.69